Dy3Tm2Pb4 (PBE, optimized geometry); crystal system = monoclinic; energy of formation from the pure elements = -0.411 eV per atom
1.0
8.101 -2.476 0.000
8.101 2.476 0.000
-1.843 0.000 6.562
Dy Tm Pb
3 2 4
Direct
0.000 0.000 0.000
0.115 0.115 0.590
0.885 0.885 0.410
0.330 0.330 0.937
0.670 0.670 0.063
0.244 0.244 0.304
0.489 0.489 0.717
0.511 0.511 0.283
0.756 0.756 0.696